Below is an optimized crystal structure of La3TeF, with properties calculated at the GGA-PBEsol level.

a = 4.987 Å, b = 4.987 Å, c = 4.987 Å
α = 90.00°, β = 90.00°, γ = 90.00°
Space group Pm-3m (No. 221)
Unique sites:
La: 0.000 0.000 0.500 [3 per cell]
Te: 0.500 0.500 0.500 [1 per cell]
F: 0.000 0.000 0.000 [1 per cell]

Properties
Energy relative to the elements, uncorrected   -1463 meV per atom

---

Below is an optimized crystal structure of Mo3PdW, with properties calculated at the GGA-PBEsol level.

a = 4.574 Å, b = 4.574 Å, c = 4.574 Å
α = 90.00°, β = 90.00°, γ = 90.00°
Space group Pm-3m (No. 221)
Unique sites:
Mo: 0.000 0.000 0.500 [3 per cell]
Pd: 0.000 0.000 0.000 [1 per cell]
W: 0.500 0.500 0.500 [1 per cell]

Properties
Energy of formation   2.31 eV per atom

---

Below is an optimized crystal structure of TaRePb3, with properties calculated at the GGA-PBEsol level.

a = 5.224 Å, b = 5.224 Å, c = 5.224 Å
α = 90.00°, β = 90.00°, γ = 90.00°
Space group Pm-3m (No. 221)
Unique sites:
Ta: 0.000 0.000 0.000 [1 per cell]
Re: 0.500 0.500 0.500 [1 per cell]
Pb: 0.000 0.500 0.500 [3 per cell]

Properties
Energy of formation   1.64 eV per atom

---

Below is an optimized crystal structure of SmYB12, with properties calculated at the GGA-PBEsol level.

a = 4.088 Å, b = 4.088 Å, c = 8.169 Å
α = 90.00°, β = 90.00°, γ = 90.00°
Space group P4/mmm (No. 123)
Unique sites:
Sm: 0.000 0.000 0.000 [1 per cell]
Y: 0.000 0.000 0.500 [1 per cell]
B: 0.199 0.500 0.251 [8 per cell]
B: 0.500 0.500 0.100 [2 per cell]
B: 0.500 0.500 0.401 [2 per cell]

Properties
Energy of formation   -0.44 eV per atom

---

Below is an optimized crystal structure of Y2CuOs, with properties calculated at the GGA-PBEsol level.

a = 6.770 Å, b = 6.770 Å, c = 6.770 Å
α = 90.00°, β = 90.00°, γ = 90.00°
Space group Fm-3m (No. 225)
Unique sites:
Y: 0.250 0.250 0.250 [8 per cell]
Cu: 0.000 0.000 0.000 [4 per cell]
Os: 0.000 0.000 0.500 [4 per cell]

Properties
Energy of formation   -0.22 eV per atom

---

Below is an optimized crystal structure of NiCS2, with properties calculated at the GGA-PBEsol level.

a = 4.723 Å, b = 4.723 Å, c = 8.874 Å
α = 90.00°, β = 90.00°, γ = 90.00°
Space group I-42d (No. 122)
Unique sites:
Ni: 0.000 0.000 0.000 [4 per cell]
C: 0.000 0.000 0.500 [4 per cell]
S: 0.212 0.250 0.625 [8 per cell]

Properties
Energy relative to the elements, uncorrected   437 meV per atom

---

Computed magnetization (μB per cell) in order:
0.00, 0.00, 3.23, 0.00, 0.00, 0.00